# 1
The following is a PBE calculation of a geometry-optimized Er3AlZn2 structure, from Alexandria.

Summary:
ΔE_f, eV/atom: -0.367
Total magnetic moment, μB per cell: 0.0
Density, g/cm3: 8.2
E_tot, eV per formula unit: -22.18

Cell: 3.538 3.538 10.713 Å, 90.00 90.00 90.00°
Space group P4/mmm (No. 123)
One atom of each set of equivalent atoms:
Er: 0.000 0.000 0.000 x1
Er: 0.000 0.000 0.328 x2
Al: 0.500 0.500 0.500 x1
Zn: 0.500 0.500 0.164 x2

# 2
The following is a PBE calculation of a geometry-optimized Er2Al2Zn structure, from Alexandria.

Summary:
ΔE_f, eV/atom: -0.405
Total magnetic moment, μB per cell: 0.0
Density, g/cm3: 7.1
E_tot, eV per formula unit: -19.91

Cell: 3.407 4.436 14.035 Å, 90.00 90.00 90.00°
Space group Amm2 (No. 38)
One atom of each set of equivalent atoms:
Er: 0.000 0.000 0.000 x2
Er: 0.000 0.000 0.233 x2
Al: 0.500 0.000 0.617 x2
Al: 0.500 0.000 0.818 x2
Zn: 0.500 0.000 0.417 x2

# 3
The following is a PBE calculation of a geometry-optimized Er7Al2Zn2 structure, from Alexandria.

Summary:
ΔE_f, eV/atom: -0.004
Total magnetic moment, μB per cell: 0.0
Density, g/cm3: 7.5
E_tot, eV per formula unit: -42.02

Cell: 7.533 10.812 7.345 Å, 90.00 90.00 90.00°
Space group Cmmm (No. 65)
One atom of each set of equivalent atoms:
Er: 0.000 0.000 0.000 x2
Er: 0.000 0.500 0.254 x4
Er: 0.250 0.250 0.281 x8
Al: 0.172 0.000 0.500 x4
Zn: 0.000 0.290 0.000 x4

# 4
The following is a PBE calculation of a geometry-optimized ErAlZn structure, from Alexandria.

Summary:
ΔE_f, eV/atom: -0.358
Total magnetic moment, μB per cell: 0.0
Density, g/cm3: 7.3
E_tot, eV per formula unit: -10.65

Cell: 4.800 8.295 5.927 Å, 90.00 90.00 90.00°
Space group Cmcm (No. 63)
One atom of each set of equivalent atoms:
Er: 0.000 0.166 0.250 x4
Al: 0.000 0.500 0.000 x4
Zn: 0.000 0.168 0.750 x4

# 5
The following is a PBE calculation of a geometry-optimized Er2AlZn16 structure, from Alexandria.

Summary:
ΔE_f, eV/atom: -0.216
Total magnetic moment, μB per cell: 0.0
Density, g/cm3: 7.7
E_tot, eV per formula unit: -37.36

Cell: 8.9638 8.9638 13.1278 Å, 90.00 90.00 120.00°
Space group R3m (No. 160, hexagonal axes)
One atom of each set of equivalent atoms:
Er: 0.0000 0.0000 0.0000 x3
Er: 0.0000 0.0000 0.3298 x3
Al: 0.0000 0.0000 0.7621 x3
Zn: 0.0000 0.0000 0.5638 x3
Zn: 0.0000 0.3011 0.6648 x18
Zn: 0.0028 0.5014 0.1647 x9
Zn: 0.0117 0.5058 0.8181 x9
Zn: 0.1717 0.3434 0.8456 x9

# 6
The following is a PBE calculation of a geometry-optimized Er6AlZn structure, from Alexandria.

Summary:
ΔE_f, eV/atom: -0.169
Total magnetic moment, μB per cell: 0.0
Density, g/cm3: 8.5
E_tot, eV per formula unit: -33.75

Cell: 7.032 7.052 17.338 Å, 90.00 90.00 90.00°
Space group Fmmm (No. 69)
One atom of each set of equivalent atoms:
Er: 0.000 0.000 0.249 x8
Er: 0.250 0.250 0.106 x16
Al: 0.000 0.000 0.000 x4
Zn: 0.000 0.000 0.500 x4

# 7
The following is a PBE calculation of a geometry-optimized Er3AlZn2 structure, from Alexandria.

Summary:
ΔE_f, eV/atom: -0.369
Total magnetic moment, μB per cell: 0.0
Density, g/cm3: 8.1
E_tot, eV per formula unit: -22.19

Cell: 5.0210 5.0210 12.3216 Å, 90.00 90.00 120.00°
Space group P-3m1 (No. 164)
One atom of each set of equivalent atoms:
Er: 0.0000 0.0000 0.2478 x2
Er: 0.3333 0.6667 0.4168 x2
Er: 0.3333 0.6667 0.9190 x2
Al: 0.3333 0.6667 0.6667 x2
Zn: 0.0000 0.0000 0.0000 x1
Zn: 0.0000 0.0000 0.5000 x1
Zn: 0.3333 0.6667 0.1676 x2

# 8
The following is a PBE calculation of a geometry-optimized Er8Al2Zn structure, from Alexandria.

Summary:
ΔE_f, eV/atom: -0.175
Total magnetic moment, μB per cell: 0.0
Density, g/cm3: 8.2
E_tot, eV per formula unit: -47.18

Cell: 18.021 5.040 6.660 Å, 90.00 103.63 90.00°
Space group C2/m (No. 12)
One atom of each set of equivalent atoms:
Er: 0.022 0.000 0.271 x4
Er: 0.094 0.500 0.960 x4
Er: 0.156 0.500 0.464 x4
Er: 0.205 0.000 0.796 x4
Al: 0.189 0.000 0.239 x4
Zn: 0.000 0.500 0.500 x2

# 9
The following is a PBE calculation of a geometry-optimized Er4AlZn structure, from Alexandria.

Summary:
ΔE_f, eV/atom: 0.001
Total magnetic moment, μB per cell: 0.0
Energy relative to the lowest polymorph listed for this composition, eV per atom: 0.233
Density, g/cm3: 7.4
E_tot, eV per formula unit: -23.26

Cell: 4.926 4.926 7.085 Å, 90.00 90.00 90.00°
Space group P4/mmm (No. 123)
One atom of each set of equivalent atoms:
Er: 0.000 0.500 0.243 x4
Al: 0.000 0.000 0.500 x1
Zn: 0.500 0.500 0.000 x1

# 10
The following is a PBE calculation of a geometry-optimized Er6AlZn2 structure, from Alexandria.

Summary:
ΔE_f, eV/atom: -0.231
Total magnetic moment, μB per cell: 0.0
Energy relative to the lowest polymorph listed for this composition, eV per atom: 0.000
Density, g/cm3: 8.3
E_tot, eV per formula unit: -35.75

Cell: 9.569 9.788 9.892 Å, 90.00 90.00 90.00°
Space group Immm (No. 71)
One atom of each set of equivalent atoms:
Er: 0.000 0.220 0.180 x8
Er: 0.180 0.233 0.500 x8
Er: 0.202 0.500 0.255 x8
Al: 0.000 0.500 0.000 x2
Al: 0.000 0.500 0.500 x2
Zn: 0.000 0.000 0.373 x4
Zn: 0.137 0.000 0.000 x4

# 11
The following is a PBE calculation of a geometry-optimized Er8AlZn2 structure, from Alexandria.

Summary:
ΔE_f, eV/atom: -0.066
Total magnetic moment, μB per cell: 0.0
Energy relative to the lowest polymorph listed for this composition, eV per atom: 0.038
Density, g/cm3: 8.3
E_tot, eV per formula unit: -43.52

Cell: 8.636 13.848 5.279 Å, 90.00 109.35 90.00°
Space group C2/m (No. 12)
One atom of each set of equivalent atoms:
Er: 0.000 0.227 0.000 x4
Er: 0.111 0.500 0.806 x4
Er: 0.206 0.120 0.600 x8
Al: 0.000 0.000 0.000 x2
Zn: 0.000 0.307 0.500 x4

# 12
The following is a PBE calculation of a geometry-optimized Er3Al2Zn7 structure, from Alexandria.

Summary:
ΔE_f, eV/atom: -0.182
Total magnetic moment, μB per cell: 0.0
Density, g/cm3: 7.1
E_tot, eV per formula unit: -32.27

Cell: 4.135 4.135 27.663 Å, 90.00 90.00 90.00°
Space group I4/mmm (No. 139)
One atom of each set of equivalent atoms:
Er: 0.000 0.000 0.000 x2
Er: 0.000 0.000 0.165 x4
Al: 0.000 0.000 0.366 x4
Zn: 0.000 0.000 0.274 x4
Zn: 0.000 0.000 0.500 x2
Zn: 0.000 0.500 0.078 x8

| no. | calculated volume (Å³ per cell) |
| --- | --- |
| 1 | 134.1 |
| 2 | 212.1 |
| 3 | 598.3 |
| 4 | 236.0 |
| 5 | 913.5 |
| 6 | 859.8 |
| 7 | 269.0 |
| 8 | 587.9 |
| 9 | 171.9 |
| 10 | 926.6 |
| 11 | 595.7 |
| 12 | 473.0 |